No. 1
The following is a PBE calculation of CaGa2Au9 after structural relaxation, from Alexandria.

Cell and atoms, written as extended XYZ:
```
24
Lattice="-5.7044 5.7044 3.5905 5.7044 -5.7044 3.5905 5.7044 5.7044 -3.5905" Properties=species:S:1:pos:R:3 pbc="T T T"
Ca 5.7044 2.8522 0.8976
Ca 0.0000 2.8522 2.6929
Ga 0.0000 0.0000 0.0000
Ga 2.8522 2.8522 -1.7953
Ga 2.8522 -2.8522 1.7953
Ga 0.0000 5.7044 0.0000
Au 4.3225 -0.6474 1.2391
Au 7.0863 -0.6474 1.2391
Au 5.7044 -2.8522 2.6929
Au 2.2048 1.4703 0.5562
Au 9.2040 1.4703 0.5562
Au 4.3225 5.0570 -1.2391
Au 1.3819 -0.6474 2.3515
Au 2.2048 4.2341 0.5562
Au 3.4996 -1.4703 4.1467
Au 2.2048 7.1747 -0.5562
Au 3.4996 1.4703 3.0343
Au 4.3225 6.3518 1.2391
Au 1.3819 0.6474 4.8296
Au -3.4996 4.2341 3.0343
Au 3.4996 4.2341 3.0343
Au 0.0000 8.5566 0.8976
Au -1.3819 6.3518 2.3515
Au 1.3819 6.3518 2.3515
```

As for the space group: I4_1/amd, No. 141. The total energy is -3.3765 eV per atom. As for the energy of formation: -23.85 kJ per mole of atoms. The spin magnetization is 0.00 μB per cell.

---

No. 2
The following is a PBE calculation of Ca2GaAu7 after structural relaxation, from Alexandria.

Cell and atoms, written as extended XYZ:
```
10
Lattice="3.9958 0.0000 0.0000 0.0000 3.9958 0.0000 0.0000 0.0000 13.5594" Properties=species:S:1:pos:R:3 pbc="T T T"
Ca 0.0000 1.9979 3.3309
Ca 1.9979 0.0000 10.2285
Ga 0.0000 0.0000 6.7797
Au 0.0000 0.0000 0.0000
Au 0.0000 1.9979 8.7719
Au 0.0000 1.9979 11.4941
Au 1.9979 0.0000 2.0653
Au 1.9979 0.0000 4.7876
Au 1.9979 1.9979 0.0000
Au 1.9979 1.9979 6.7797
```

As for the space group: P-4m2, No. 115. The total energy is -3.4526 eV per atom. As for the energy of formation: -43.95 kJ per mole of atoms. The spin magnetization is 0.00 μB per cell.